Entry 1:
## MnCrRhW (PBE)

Data for crystalline MnCrRhW at its relaxed geometry.

Unit cell a=4.272 b=4.272 c=4.272 alpha=60.00 beta=60.00 gamma=60.00
Element x y z (fractional)
1 Mn 0.000 0.000 0.000
2 Cr 0.500 0.500 0.500
3 Rh 0.250 0.250 0.250
4 W 0.750 0.750 0.750

Results
Size of the total moment ... 4.1 Bohr magnetons per cell
E_form ... 0.075 eV/atom


Entry 2:
## Ca3TaOs (PBE)

Data for crystalline Ca3TaOs at its relaxed geometry.

Unit cell a=5.424 b=5.424 c=5.424 alpha=90.00 beta=90.00 gamma=90.00
Element x y z (fractional)
1 Ca 0.000 0.000 0.500
2 Ca 0.000 0.500 0.000
3 Ca 0.500 0.000 0.000
4 Ta 0.500 0.500 0.500
5 Os 0.000 0.000 0.000

Results
Size of the total moment ... 4.8 Bohr magnetons per cell
E_form ... 1.286 eV/atom
Offset from the most stable computed form ... 0.00 eV/f.u.


Entry 3:
## BeSiCl (PBE)

Data for crystalline BeSiCl at its relaxed geometry.

Unit cell a=2.985 b=2.985 c=7.261 alpha=90.00 beta=90.00 gamma=120.00
Element x y z (fractional)
1 Be 0.000 0.000 0.000
2 Si 0.333 0.667 0.736
3 Cl 0.667 0.333 0.171

Results
Size of the total moment ... 0.0 Bohr magnetons per cell
Uncorrected formation energy ... 0.0377 eV/atom
Offset from the most stable computed form ... 0.93 eV/f.u.


Entry 4:
## Cr2C (PBE)

Data for crystalline Cr2C at its relaxed geometry.

Unit cell a=4.135 b=4.135 c=4.135 alpha=107.54 beta=107.54 gamma=113.40
Element x y z (fractional)
1 Cr 0.174 0.674 0.848
2 Cr 0.326 0.174 0.500
3 Cr 0.674 0.826 0.500
4 Cr 0.826 0.326 0.152
5 C 0.250 0.250 0.000
6 C 0.750 0.750 0.000

Results
Size of the total moment ... 0.0 Bohr magnetons per cell
E_form ... 0.048 eV/atom


Number 1: calculated volume 13.78 Å³/atom. Number 2: calculated volume 31.92 Å³/atom. Number 3: calculated volume 18.68 Å³/atom. Number 4: calculated volume 9.04 Å³/atom.